VASP calculation (PBE) on a relaxed MnZn4Mo crystal.

Cell: 4.945 4.945 4.945 Å, 60.00 60.00 60.00°
Atoms (fractional coordinates):
Zn 0.375 0.876 0.375
Zn 0.876 0.375 0.375
Zn 0.375 0.375 0.876
Zn 0.375 0.375 0.375
Mo 0.000 0.000 0.000
Mn 0.750 0.750 0.750

Values from the calculation:
DFT total energy in eV per atom: -4.03
Formation enthalpy at 0 K in eV per atom: 0.15
Total magnetic moment in μB/cell: 1.65

VASP calculation (PBE) on a relaxed MnZn2Mo crystal.

Cell: 4.473 4.473 4.473 Å, 126.76 126.76 78.64°
Atoms (fractional coordinates):
Mn 0.500 0.500 0.000
Mo 0.250 0.750 0.500
Zn 0.750 0.250 0.500
Zn 0.000 0.000 0.000

Values from the calculation:
Energy above the most stable polymorph in this dataset in meV per atom: 65.5
DFT total energy in eV per atom: -5.48
Formation enthalpy at 0 K in eV per atom: 0.15
Total magnetic moment in μB/cell: 1.23

VASP calculation (PBE) on a relaxed Mn3ZnMo crystal.

Cell: 4.201 4.201 4.201 Å, 90.00 90.00 90.00°
Atoms (fractional coordinates):
Mo 0.500 0.500 0.500
Mn 0.000 0.000 0.500
Mn 0.000 0.500 0.000
Mn 0.500 0.000 0.000
Zn 0.000 0.000 0.000

Values from the calculation:
Energy above the most stable polymorph in this dataset in meV per atom: 374.0
DFT total energy in eV per atom: -6.22
Formation enthalpy at 0 K in eV per atom: 1.70
Total magnetic moment in μB/cell: 0.02

VASP calculation (PBE) on a relaxed MnZn2Mo crystal.

Cell: 2.687 2.687 7.912 Å, 90.00 90.00 89.93°
Atoms (fractional coordinates):
Zn 0.000 0.000 0.012
Zn 0.000 0.000 0.488
Mn 0.500 0.500 0.250
Mo 0.500 0.500 0.750

Values from the calculation:
Energy above the most stable polymorph in this dataset in meV per atom: 12.4
DFT total energy in eV per atom: -5.54
Formation enthalpy at 0 K in eV per atom: 0.10
Total magnetic moment in μB/cell: 3.01

VASP calculation (PBE) on a relaxed MnZn2Mo crystal.

Cell: 9.085 9.085 9.085 Å, 17.46 17.46 17.46°
Atoms (fractional coordinates):
Zn 0.997 0.997 0.997
Zn 0.503 0.503 0.503
Mo 0.750 0.750 0.750
Mn 0.250 0.250 0.250

Values from the calculation:
Energy above the most stable polymorph in this dataset in meV per atom: 142.7
DFT total energy in eV per atom: -5.41
Formation enthalpy at 0 K in eV per atom: 0.23
Total magnetic moment in μB/cell: 3.09

VASP calculation (PBE) on a relaxed Mn3ZnMo crystal.

Cell: 4.574 4.574 4.574 Å, 90.00 90.00 90.00°
Atoms (fractional coordinates):
Mn 0.000 0.000 0.500
Mn 0.500 0.000 0.000
Mn 0.000 0.500 0.000
Zn 0.500 0.500 0.500
Mo 0.000 0.000 0.000

Values from the calculation:
Energy above the most stable polymorph in this dataset in meV per atom: 0.0
DFT total energy in eV per atom: -6.60
Formation enthalpy at 0 K in eV per atom: 1.32
Total magnetic moment in μB/cell: 7.55

VASP calculation (PBE) on a relaxed MnZn2Mo crystal.

Cell: 2.660 2.660 8.210 Å, 90.00 90.00 99.49°
Atoms (fractional coordinates):
Zn 0.000 0.000 0.003
Zn 0.500 0.500 0.259
Mo 0.500 0.500 0.742
Mn 0.000 0.000 0.496

Values from the calculation:
Energy above the most stable polymorph in this dataset in meV per atom: 8.4
DFT total energy in eV per atom: -5.54
Formation enthalpy at 0 K in eV per atom: 0.10
Total magnetic moment in μB/cell: 2.49

VASP calculation (PBE) on a relaxed MnZn2Mo crystal.

Cell: 9.230 9.230 9.230 Å, 16.94 16.94 16.94°
Atoms (fractional coordinates):
Zn 0.000 0.000 0.000
Zn 0.246 0.246 0.246
Mo 0.753 0.753 0.753
Mn 0.501 0.501 0.501

Values from the calculation:
Energy above the most stable polymorph in this dataset in meV per atom: 98.1
DFT total energy in eV per atom: -5.45
Formation enthalpy at 0 K in eV per atom: 0.19
Total magnetic moment in μB/cell: 2.49

VASP calculation (PBE) on a relaxed MnZn2Mo crystal.

Cell: 4.257 2.673 4.994 Å, 84.39 90.00 90.00°
Atoms (fractional coordinates):
Mn 0.000 0.527 0.499
Zn 0.500 0.154 0.259
Zn 0.000 0.119 0.993
Mo 0.500 0.700 0.748

Values from the calculation:
Energy above the most stable polymorph in this dataset in meV per atom: 21.0
DFT total energy in eV per atom: -5.53
Formation enthalpy at 0 K in eV per atom: 0.11
Total magnetic moment in μB/cell: 1.88

VASP calculation (PBE) on a relaxed MnZn2Mo crystal.

Cell: 3.028 3.028 6.126 Å, 90.00 90.00 90.00°
Atoms (fractional coordinates):
Zn 0.000 0.000 0.007
Zn 0.500 0.500 0.259
Mn 0.000 0.000 0.518
Mo 0.500 0.500 0.717

Values from the calculation:
Energy above the most stable polymorph in this dataset in meV per atom: 0.0
DFT total energy in eV per atom: -5.55
Formation enthalpy at 0 K in eV per atom: 0.09
Total magnetic moment in μB/cell: 0.62

VASP calculation (PBE) on a relaxed MnZn2Mo crystal.

Cell: 2.654 3.897 5.537 Å, 90.00 90.00 90.00°
Atoms (fractional coordinates):
Mo 0.500 0.500 0.735
Zn 0.500 0.500 0.247
Zn 0.000 0.000 0.007
Mn 0.000 0.000 0.510

Values from the calculation:
Energy above the most stable polymorph in this dataset in meV per atom: 55.9
DFT total energy in eV per atom: -5.49
Formation enthalpy at 0 K in eV per atom: 0.14
Total magnetic moment in μB/cell: 2.40

VASP calculation (PBE) on a relaxed MnZn2Mo crystal.

Cell: 4.245 2.633 5.271 Å, 73.41 90.00 90.00°
Atoms (fractional coordinates):
Zn 0.000 0.461 0.493
Zn 0.000 0.039 0.007
Mn 0.500 0.250 0.250
Mo 0.500 0.750 0.750

Values from the calculation:
Energy above the most stable polymorph in this dataset in meV per atom: 54.3
DFT total energy in eV per atom: -5.49
Formation enthalpy at 0 K in eV per atom: 0.14
Total magnetic moment in μB/cell: 2.05

VASP calculation (PBE) on a relaxed Mn2ZnMo2 crystal.

Cell: 6.991 6.991 2.877 Å, 90.00 90.00 90.00°
Atoms (fractional coordinates):
Mn 0.637 0.137 0.000
Mn 0.363 0.863 0.000
Mn 0.137 0.363 0.000
Mn 0.863 0.637 0.000
Zn 0.500 0.500 0.000
Zn 0.000 0.000 0.000
Mo 0.836 0.336 0.500
Mo 0.336 0.164 0.500
Mo 0.164 0.664 0.500
Mo 0.664 0.836 0.500

Values from the calculation:
DFT total energy in eV per atom: -8.00
Formation enthalpy at 0 K in eV per atom: 0.25
Total magnetic moment in μB/cell: 2.11

VASP calculation (PBE) on a relaxed MnZn2Mo crystal.

Cell: 4.927 4.927 4.927 Å, 136.15 136.15 63.75°
Atoms (fractional coordinates):
Zn 0.000 0.000 0.000
Zn 0.500 0.500 0.000
Mn 0.250 0.750 0.500
Mo 0.750 0.250 0.500

Values from the calculation:
Energy above the most stable polymorph in this dataset in meV per atom: 90.4
DFT total energy in eV per atom: -5.46
Formation enthalpy at 0 K in eV per atom: 0.18
Total magnetic moment in μB/cell: 2.02

VASP calculation (PBE) on a relaxed Mn2Zn2Mo crystal.

Cell: 6.339 6.339 3.503 Å, 90.00 90.00 90.00°
Atoms (fractional coordinates):
Zn 0.832 0.332 0.500
Zn 0.332 0.168 0.500
Zn 0.668 0.832 0.500
Zn 0.168 0.668 0.500
Mn 0.870 0.630 0.000
Mn 0.130 0.370 0.000
Mn 0.630 0.130 0.000
Mn 0.370 0.870 0.000
Mo 0.500 0.500 0.000
Mo 0.000 0.000 0.000

Values from the calculation:
DFT total energy in eV per atom: -5.95
Formation enthalpy at 0 K in eV per atom: 0.40
Total magnetic moment in μB/cell: 6.74

VASP calculation (PBE) on a relaxed MnZnMo3 crystal.

Cell: 4.462 4.462 4.462 Å, 90.00 90.00 90.00°
Atoms (fractional coordinates):
Zn 0.500 0.500 0.500
Mo 0.000 0.500 0.000
Mo 0.500 0.000 0.000
Mo 0.000 0.000 0.500
Mn 0.000 0.000 0.000

Values from the calculation:
Energy above the most stable polymorph in this dataset in meV per atom: 0.0
DFT total energy in eV per atom: -7.48
Formation enthalpy at 0 K in eV per atom: 1.11
Total magnetic moment in μB/cell: 0.00

VASP calculation (PBE) on a relaxed MnZn2Mo crystal.

Cell: 6.951 6.951 5.538 Å, 51.13 51.13 90.00°
Atoms (fractional coordinates):
Zn 0.137 0.625 0.250
Zn 0.375 0.387 0.750
Zn 0.875 0.863 0.750
Zn 0.613 0.125 0.250
Mo 0.000 0.000 0.000
Mo 0.750 0.250 0.500
Mn 0.500 0.500 0.000
Mn 0.250 0.750 0.500

Values from the calculation:
Energy above the most stable polymorph in this dataset in meV per atom: 459.2
DFT total energy in eV per atom: -5.09
Formation enthalpy at 0 K in eV per atom: 0.55
Total magnetic moment in μB/cell: 5.56

VASP calculation (PBE) on a relaxed MnZn2Mo crystal.

Cell: 4.582 4.582 4.882 Å, 83.71 83.71 33.65°
Atoms (fractional coordinates):
Zn 0.248 0.248 0.239
Zn 0.998 0.998 0.015
Mn 0.504 0.504 0.518
Mo 0.750 0.750 0.728

Values from the calculation:
Energy above the most stable polymorph in this dataset in meV per atom: 72.0
DFT total energy in eV per atom: -5.48
Formation enthalpy at 0 K in eV per atom: 0.16
Total magnetic moment in μB/cell: 1.70

VASP calculation (PBE) on a relaxed MnZn2Mo crystal.

Cell: 4.783 4.783 4.762 Å, 80.00 80.00 32.41°
Atoms (fractional coordinates):
Zn 0.504 0.504 0.494
Zn 0.996 0.996 0.006
Mo 0.750 0.750 0.750
Mn 0.250 0.250 0.250

Values from the calculation:
Energy above the most stable polymorph in this dataset in meV per atom: 107.9
DFT total energy in eV per atom: -5.44
Formation enthalpy at 0 K in eV per atom: 0.20
Total magnetic moment in μB/cell: 2.24

VASP calculation (PBE) on a relaxed MnZnMo3 crystal.

Cell: 4.495 4.495 4.495 Å, 90.00 90.00 90.00°
Atoms (fractional coordinates):
Mo 0.000 0.000 0.500
Mo 0.500 0.000 0.000
Mo 0.000 0.500 0.000
Mn 0.500 0.500 0.500
Zn 0.000 0.000 0.000

Values from the calculation:
Energy above the most stable polymorph in this dataset in meV per atom: 933.8
DFT total energy in eV per atom: -6.54
Formation enthalpy at 0 K in eV per atom: 2.04
Total magnetic moment in μB/cell: 0.12

VASP calculation (PBE) on a relaxed MnZn2Mo crystal.

Cell: 2.675 3.933 5.432 Å, 90.00 90.00 90.00°
Atoms (fractional coordinates):
Zn 0.000 0.000 0.491
Zn 0.000 0.000 0.009
Mo 0.500 0.500 0.750
Mn 0.500 0.500 0.250

Values from the calculation:
Energy above the most stable polymorph in this dataset in meV per atom: 54.6
DFT total energy in eV per atom: -5.49
Formation enthalpy at 0 K in eV per atom: 0.14
Total magnetic moment in μB/cell: 2.72

VASP calculation (PBE) on a relaxed MnZn2Mo crystal.

Cell: 6.014 4.865 2.648 Å, 90.02 63.84 119.87°
Atoms (fractional coordinates):
Mn 0.000 0.500 0.500
Zn 0.000 0.000 0.000
Zn 0.500 0.000 0.500
Mo 0.500 0.500 0.000

Values from the calculation:
Energy above the most stable polymorph in this dataset in meV per atom: 52.1
DFT total energy in eV per atom: -5.50
Formation enthalpy at 0 K in eV per atom: 0.14
Total magnetic moment in μB/cell: 3.11

VASP calculation (PBE) on a relaxed ZrMn2Mo crystal.

Cell: 5.350 4.923 2.813 Å, 79.60 78.85 119.22°
Atoms (fractional coordinates):
Mn 0.500 0.000 0.500
Mn 0.000 0.000 0.000
Mo 0.000 0.500 0.500
Zr 0.500 0.500 0.000

Values from the calculation:
Energy above the most stable polymorph in this dataset in meV per atom: 230.4
DFT total energy in eV per atom: -9.20
Formation enthalpy at 0 K in eV per atom: 0.23
Total magnetic moment in μB/cell: 2.18

VASP calculation (PBE) on a relaxed ZrMn2Mo crystal.

Cell: 4.427 4.427 4.427 Å, 60.00 60.00 60.00°
Atoms (fractional coordinates):
Zr 0.750 0.750 0.750
Mn 0.250 0.250 0.250
Mn 0.000 0.000 0.000
Mo 0.500 0.500 0.500

Values from the calculation:
Energy above the most stable polymorph in this dataset in meV per atom: 165.4
DFT total energy in eV per atom: -9.26
Formation enthalpy at 0 K in eV per atom: 0.17
Total magnetic moment in μB/cell: 0.25

VASP calculation (PBE) on a relaxed Zr2Mn2Mo crystal.

Cell: 6.182 6.182 4.440 Å, 90.00 90.00 90.00°
Atoms (fractional coordinates):
Zr 0.182 0.682 0.500
Zr 0.318 0.182 0.500
Zr 0.818 0.318 0.500
Zr 0.682 0.818 0.500
Mo 0.500 0.500 0.000
Mo 0.000 0.000 0.000
Mn 0.122 0.378 0.000
Mn 0.622 0.122 0.000
Mn 0.378 0.878 0.000
Mn 0.878 0.622 0.000

Values from the calculation:
DFT total energy in eV per atom: -9.23
Formation enthalpy at 0 K in eV per atom: 0.03
Total magnetic moment in μB/cell: 0.00

VASP calculation (PBE) on a relaxed ZrMnMo2 crystal.

Cell: 3.162 3.162 6.425 Å, 90.00 90.00 90.00°
Atoms (fractional coordinates):
Mo 0.500 0.500 0.230
Mo 0.000 0.000 0.993
Mn 0.500 0.500 0.768
Zr 0.000 0.000 0.510

Values from the calculation:
Energy above the most stable polymorph in this dataset in meV per atom: 0.0
DFT total energy in eV per atom: -9.82
Formation enthalpy at 0 K in eV per atom: 0.02
Total magnetic moment in μB/cell: 0.30

VASP calculation (PBE) on a relaxed ZrMnMo3 crystal.

Cell: 4.508 4.508 4.508 Å, 90.00 90.00 90.00°
Atoms (fractional coordinates):
Mo 0.500 0.000 0.000
Mo 0.000 0.500 0.000
Mo 0.000 0.000 0.500
Mn 0.000 0.000 0.000
Zr 0.500 0.500 0.500

Values from the calculation:
Energy above the most stable polymorph in this dataset in meV per atom: 0.0
DFT total energy in eV per atom: -9.28
Formation enthalpy at 0 K in eV per atom: 0.76
Total magnetic moment in μB/cell: 0.00

VASP calculation (PBE) on a relaxed ZrMnMo3 crystal.

Cell: 4.727 4.727 4.727 Å, 90.00 90.00 90.00°
Atoms (fractional coordinates):
Mo 0.000 0.500 0.000
Mo 0.000 0.000 0.500
Mo 0.500 0.000 0.000
Mn 0.500 0.500 0.500
Zr 0.000 0.000 0.000

Values from the calculation:
Energy above the most stable polymorph in this dataset in meV per atom: 1762.5
DFT total energy in eV per atom: -7.52
Formation enthalpy at 0 K in eV per atom: 2.52
Total magnetic moment in μB/cell: 0.09

VASP calculation (PBE) on a relaxed ZrMn2Mo crystal.

Cell: 8.812 8.812 8.812 Å, 19.24 19.24 19.24°
Atoms (fractional coordinates):
Mn 0.251 0.251 0.251
Mn 0.990 0.990 0.990
Zr 0.747 0.747 0.747
Mo 0.511 0.511 0.511

Values from the calculation:
Energy above the most stable polymorph in this dataset in meV per atom: 378.5
DFT total energy in eV per atom: -9.05
Formation enthalpy at 0 K in eV per atom: 0.38
Total magnetic moment in μB/cell: 0.90